# 1
Computed, not measured: a geometry-optimized MnRuPt2 structure at the PBE level of DFT.

## Properties
As for the symmetry: Fm-3m. As for the formation energy: 0.3 eV per formula unit. The density of states at the Fermi level is 4.287 states/eV per cell. Its electronic total energy is -0.555 Ry per atom. Its theoretical density is 14.9 g/cm³. Its crystal system is cubic.

The structure in POSCAR format:
```
MnRuPt2
1.0
0.000 3.125 3.125
3.125 0.000 3.125
3.125 3.125 0.000
Mn Ru Pt
1 1 2
Direct
0.000 0.000 0.000
0.500 0.500 0.500
0.250 0.250 0.250
0.750 0.750 0.750
```


# 2
Computed, not measured: a geometry-optimized MnRuPt2 structure at the PBE level of DFT.

## Properties
As for the symmetry: I-4m2. As for the formation energy: -0.5 eV per formula unit. The density of states at the Fermi level is 4.539 states/eV per cell. Its electronic total energy is -0.571 Ry per atom. Its theoretical density is 15.6 g/cm³. Its crystal system is tetragonal.

The structure in POSCAR format:
```
MnRuPt2
1.0
-1.939 1.939 3.875
1.939 -1.939 3.875
1.939 1.939 -3.875
Mn Ru Pt
1 1 2
Direct
0.000 0.000 0.000
0.750 0.250 0.500
0.250 0.750 0.500
0.500 0.500 0.000
```


# 3
Computed, not measured: a geometry-optimized MnRuPt2 structure at the PBE level of DFT.

## Properties
As for the symmetry: Pmmm. As for the formation energy: -0.5 eV per formula unit. The density of states at the Fermi level is 4.185 states/eV per cell. Its electronic total energy is -0.571 Ry per atom. Its theoretical density is 15.4 g/cm³. Its crystal system is orthorhombic.

The structure in POSCAR format:
```
MnRuPt2
1.0
2.785 0.000 0.000
0.000 3.876 0.000
0.000 0.000 5.460
Mn Ru Pt
1 1 2
Direct
0.000 0.000 0.000
0.000 0.000 0.500
0.500 0.500 0.252
0.500 0.500 0.748
```